# Ca2H2Os

A geometry-optimized Ca2H2Os structure (PBE, Alexandria via LeMat-Bulk).

a = 4.8983 Å, b = 4.8983 Å, c = 4.9648 Å
α = 60.44°, β = 60.44°, γ = 90.00°
Atoms (fractional coordinates):
H 0.2449 0.2449 0.5101
H 0.7551 0.7551 0.4899
Ca 0.7500 0.2500 0.5000
Ca 0.2500 0.7500 0.5000
Os 0.0000 0.0000 0.0000

Total energy (eV/atom): -4.4964
Density (Mg/m³): 5.3
Symmetry: I4/mmm, No. 139